[1]
Below is crystalline ZnAgSn2 at its relaxed geometry, with properties calculated at the PBE-GGA level.

It has space group P4/mmm (No. 123), with a = 4.637 Å, b = 4.637 Å, c = 4.113 Å, α = 90.00°, β = 90.00° and γ = 90.00°. The inequivalent atoms are Zn at (0.000, 0.000, 0.000), Ag at (0.500, 0.500, 0.000) and Sn at (0.000, 0.500, 0.500).

For the raw total energy, the calculation gives -0.21407 Ry per atom. For the energy of formation from the pure elements, the calculation gives 120 meV/atom.

[2]
Below is crystalline ZrCo2Tc2 at its relaxed geometry, with properties calculated at the PBE-GGA level.

It has space group P4/mbm (No. 127), with a = 7.336 Å, b = 7.336 Å, c = 2.651 Å, α = 90.00°, β = 90.00° and γ = 90.00°. The inequivalent atoms are Zr at (0.000, 0.000, 0.000), Co at (0.118, 0.382, 0.000) and Tc at (0.174, 0.674, 0.500).

For the raw total energy, the calculation gives -0.63912 Ry per atom. For the energy of formation from the pure elements, the calculation gives 3 meV/atom. The polymorph energy (0 for the lowest one) comes out at 0 meV/atom.

[3]
Below is crystalline Y7Er at its relaxed geometry, with properties calculated at the PBE-GGA level.

It has space group Fm-3m (No. 225), with a = 10.075 Å, b = 10.075 Å, c = 10.075 Å, α = 90.00°, β = 90.00° and γ = 90.00°. The inequivalent atoms are Y at (0.000, 0.000, 0.000), Y at (0.000, 0.250, 0.250) and Er at (0.000, 0.000, 0.500).

For the raw total energy, the calculation gives -0.45559 Ry per atom. For the energy of formation from the pure elements, the calculation gives 28 meV/atom. The polymorph energy (0 for the lowest one) comes out at 0 meV/atom.

[4]
Below is crystalline Eu3Tm5O12 at its relaxed geometry, with properties calculated at the PBE-GGA level.

It has space group Ia-3d (No. 230), with a = 13.508 Å, b = 13.508 Å, c = 13.508 Å, α = 90.00°, β = 90.00° and γ = 90.00°. The inequivalent atoms are Eu at (0.000, 0.250, 0.125), Tm at (0.000, 0.000, 0.000), Tm at (0.000, 0.250, 0.375) and O at (0.024, 0.062, 0.652).

For the raw total energy, the calculation gives -0.64491 Ry per atom. The calculation puts the energy relative to the elements, uncorrected at -3.141 eV per atom.

[5]
Below is crystalline ScFeCl3 at its relaxed geometry, with properties calculated at the PBE-GGA level.

It has space group Pm-3m (No. 221), with a = 5.049 Å, b = 5.049 Å, c = 5.049 Å, α = 90.00°, β = 90.00° and γ = 90.00°. The inequivalent atoms are Sc at (0.000, 0.000, 0.000), Fe at (0.500, 0.500, 0.500) and Cl at (0.000, 0.000, 0.500).

For the raw total energy, the calculation gives -0.34896 Ry per atom. The calculation puts the energy relative to the elements, uncorrected at -0.681 eV per atom. The polymorph energy (0 for the lowest one) comes out at 0 meV/atom.

[6]
Below is crystalline CuRu2Rh at its relaxed geometry, with properties calculated at the PBE-GGA level.

It has space group Cmmm (No. 65), with a = 5.241 Å, b = 7.832 Å, c = 2.671 Å, α = 90.00°, β = 90.00° and γ = 90.00°. The inequivalent atoms are Cu at (0.000, 0.000, 0.000), Ru at (0.250, 0.250, 0.500) and Rh at (0.000, 0.500, 0.000).

For the raw total energy, the calculation gives -0.53216 Ry per atom. For the energy of formation from the pure elements, the calculation gives 259 meV/atom. The polymorph energy (0 for the lowest one) comes out at 141 meV/atom.

[7]
Below is crystalline MnMoPd14 at its relaxed geometry, with properties calculated at the PBE-GGA level.

It has space group P4/mmm (No. 123), with a = 5.587 Å, b = 5.587 Å, c = 7.817 Å, α = 90.00°, β = 90.00° and γ = 90.00°. The inequivalent atoms are Mn at (0.000, 0.000, 0.000), Mo at (0.500, 0.500, 0.000), Pd at (0.000, 0.000, 0.500), Pd at (0.000, 0.500, 0.000), Pd at (0.000, 0.500, 0.500), Pd at (0.251, 0.251, 0.243) and Pd at (0.500, 0.500, 0.500).

For the raw total energy, the calculation gives -0.43257 Ry per atom. For the energy of formation from the pure elements, the calculation gives -92 meV/atom.

[8]
Below is crystalline In8Au at its relaxed geometry, with properties calculated at the PBE-GGA level.

It has space group I4/mmm (No. 139), with a = 10.095 Å, b = 10.095 Å, c = 4.538 Å, α = 90.00°, β = 90.00° and γ = 90.00°. The inequivalent atoms are In at (0.000, 0.327, 0.000), In at (0.159, 0.159, 0.500) and Au at (0.000, 0.000, 0.000).

For the raw total energy, the calculation gives -0.20557 Ry per atom. For the energy of formation from the pure elements, the calculation gives 1 meV/atom.

[9]
Below is crystalline Hf2AlCuNi at its relaxed geometry, with properties calculated at the PBE-GGA level.

It has space group P4/mmm (No. 123), with a = 4.971 Å, b = 4.971 Å, c = 4.141 Å, α = 90.00°, β = 90.00° and γ = 90.00°. The inequivalent atoms are Hf at (0.000, 0.500, 0.000), Al at (0.000, 0.000, 0.000), Cu at (0.500, 0.500, 0.500) and Ni at (0.000, 0.000, 0.500).

For the raw total energy, the calculation gives -0.43277 Ry per atom. For the energy of formation from the pure elements, the calculation gives 817 meV/atom.

[10]
Below is crystalline InPS2Cl at its relaxed geometry, with properties calculated at the PBE-GGA level.

It has space group P4/mmm (No. 123), with a = 4.929 Å, b = 4.929 Å, c = 5.473 Å, α = 90.00°, β = 90.00° and γ = 90.00°. The inequivalent atoms are In at (0.000, 0.000, 0.000), P at (0.000, 0.000, 0.500), S at (0.000, 0.500, 0.000) and Cl at (0.500, 0.500, 0.500).

For the raw total energy, the calculation gives -0.20386 Ry per atom. The calculation puts the energy relative to the elements, uncorrected at 0.876 eV per atom. The polymorph energy (0 for the lowest one) comes out at 866 meV/atom.

[11]
Below is crystalline Tm5Fe2Hg at its relaxed geometry, with properties calculated at the PBE-GGA level.

It has space group I4/mcm (No. 140), with a = 7.295 Å, b = 7.295 Å, c = 14.104 Å, α = 90.00°, β = 90.00° and γ = 90.00°. The inequivalent atoms are Tm at (0.000, 0.000, 0.000), Tm at (0.175, 0.325, 0.135), Fe at (0.108, 0.392, 0.500) and Hg at (0.000, 0.000, 0.250).

For the raw total energy, the calculation gives -0.37659 Ry per atom. For the energy of formation from the pure elements, the calculation gives -176 meV/atom.

[12]
Below is crystalline Tb8Pm3Y3 at its relaxed geometry, with properties calculated at the PBE-GGA level.

It has space group Immm (No. 71), with a = 5.673 Å, b = 10.888 Å, c = 15.018 Å, α = 90.00°, β = 90.00° and γ = 90.00°. The inequivalent atoms are Tb at (0.000, 0.158, 0.103), Tb at (0.000, 0.340, 0.278), Pm at (0.000, 0.000, 0.317), Pm at (0.000, 0.500, 0.000), Y at (0.000, 0.202, 0.500) and Y at (0.000, 0.500, 0.500).

For the raw total energy, the calculation gives -0.36319 Ry per atom. For the energy of formation from the pure elements, the calculation gives 108 meV/atom.